Record 1
A relaxed structure of Hf2Tc2Ag, computed with PBE.

a b c (Å): 7.321 7.321 3.449
angles (deg): 90.00 90.00 90.00
Sites, in units of the cell vectors:
Hf1 0.180 0.320 0.000
Hf2 0.320 0.820 0.000
Hf3 0.680 0.180 0.000
Hf4 0.820 0.680 0.000
Tc1 0.122 0.622 0.500
Tc2 0.378 0.122 0.500
Tc3 0.622 0.878 0.500
Tc4 0.878 0.378 0.500
Ag1 0.000 0.000 0.500
Ag2 0.500 0.500 0.500

Computed properties:
Formation enthalpy at 0 K in kJ/mol of formula units: 3
Space group: P4/mbm

---

Record 2
A relaxed structure of La3NdSm2As6, computed with PBE.

a b c (Å): 7.456 7.456 7.457
angles (deg): 99.59 99.59 120.00
Sites, in units of the cell vectors:
La1 0.000 0.000 0.000
La2 0.334 0.666 0.000
La3 0.666 0.334 0.000
Nd1 0.500 0.500 0.500
Sm1 0.167 0.833 0.500
Sm2 0.833 0.167 0.500
As1 0.084 0.419 0.256
As2 0.246 0.246 0.743
As3 0.419 0.084 0.256
As4 0.581 0.916 0.744
As5 0.754 0.754 0.257
As6 0.916 0.581 0.744

Computed properties:
Formation enthalpy at 0 K in kJ/mol of formula units: -1790
Space group: C2/m

---

Record 3
A relaxed structure of Ni7P6, computed with PBE.

a b c (Å): 8.420 8.420 8.420
angles (deg): 33.91 33.91 33.91
Sites, in units of the cell vectors:
Ni1 0.000 0.000 0.000
Ni2 0.074 0.074 0.574
Ni3 0.074 0.574 0.074
Ni4 0.426 0.926 0.926
Ni5 0.574 0.074 0.074
Ni6 0.926 0.426 0.926
Ni7 0.926 0.926 0.426
P1 0.167 0.167 0.167
P2 0.316 0.316 0.316
P3 0.410 0.410 0.410
P4 0.590 0.590 0.590
P5 0.684 0.684 0.684
P6 0.833 0.833 0.833

Computed properties:
Formation enthalpy at 0 K in kJ/mol of formula units: -215
Space group: R-3m

---

Record 4
A relaxed structure of K6Cd2Hg, computed with PBE.

a b c (Å): 10.444 10.444 10.444
angles (deg): 111.90 111.02 105.56
Sites, in units of the cell vectors:
K1 0.038 0.826 0.211
K2 0.247 0.549 0.302
K3 0.247 0.945 0.698
K4 0.267 0.320 0.587
K5 0.267 0.680 0.948
K6 0.385 0.174 0.211
K7 0.615 0.826 0.789
K8 0.733 0.320 0.052
K9 0.733 0.680 0.413
K10 0.753 0.055 0.302
K11 0.753 0.451 0.698
K12 0.962 0.174 0.789
Cd1 0.000 0.130 0.130
Cd2 0.000 0.870 0.870
Cd3 0.384 0.384 0.000
Cd4 0.616 0.616 0.000
Hg1 0.000 0.500 0.500
Hg2 0.500 0.000 0.500

Computed properties:
Formation enthalpy at 0 K in kJ/mol of formula units: -61
Space group: Immm

---

Record 5
A relaxed structure of PmHoIn2, computed with PBE.

a b c (Å): 3.735 3.735 29.316
angles (deg): 90.00 90.00 120.00
Sites, in units of the cell vectors:
Pm1 0.000 0.000 0.000
Pm2 0.333 0.667 0.667
Pm3 0.667 0.333 0.333
Ho1 0.000 0.000 0.500
Ho2 0.333 0.667 0.167
Ho3 0.667 0.333 0.833
In1 0.000 0.000 0.248
In2 0.000 0.000 0.752
In3 0.333 0.667 0.419
In4 0.333 0.667 0.915
In5 0.667 0.333 0.085
In6 0.667 0.333 0.581

Computed properties:
Formation enthalpy at 0 K in kJ/mol of formula units: -122
Space group: R-3m

---

Record 6
A relaxed structure of CoPb2Br, computed with PBE.

a b c (Å): 3.631 5.968 9.594
angles (deg): 90.00 90.00 90.00
Sites, in units of the cell vectors:
Co1 0.000 0.000 0.000
Co2 0.500 0.500 0.000
Pb1 0.000 0.000 0.517
Pb2 0.000 0.500 0.214
Pb3 0.500 0.000 0.214
Pb4 0.500 0.500 0.517
Br1 0.000 0.500 0.836
Br2 0.500 0.000 0.836

Computed properties:
ΔE_f (raw) in eV/atom: 0.239
Space group: Cmm2
E above lowest polymorph in meV per atom: 142

---

Record 7
A relaxed structure of LiMnV2Re, computed with PBE.

a b c (Å): 4.218 4.218 3.575
angles (deg): 90.00 90.00 90.00
Sites, in units of the cell vectors:
Li1 0.000 0.000 0.000
Mn1 0.000 0.000 0.500
V1 0.000 0.500 0.000
V2 0.500 0.000 0.000
Re1 0.500 0.500 0.500

Computed properties:
Formation enthalpy at 0 K in kJ/mol of formula units: 530
Space group: P4/mmm

---

Record 8
A relaxed structure of Hf3Zr2, computed with PBE.

a b c (Å): 8.500 8.500 5.099
angles (deg): 90.00 90.00 38.21
Sites, in units of the cell vectors:
Hf1 0.036 0.366 0.250
Hf2 0.166 0.834 0.750
Hf3 0.366 0.036 0.750
Hf4 0.634 0.964 0.250
Hf5 0.834 0.166 0.250
Hf6 0.964 0.634 0.750
Zr1 0.231 0.568 0.250
Zr2 0.432 0.769 0.250
Zr3 0.568 0.231 0.750
Zr4 0.769 0.432 0.750

Computed properties:
Formation enthalpy at 0 K in kJ/mol of formula units: -1
Space group: Cmcm
E above lowest polymorph in meV per atom: 0

---

Copy entry 6 word for word.
A relaxed structure of CoPb2Br, computed with PBE.

a b c (Å): 3.631 5.968 9.594
angles (deg): 90.00 90.00 90.00
Sites, in units of the cell vectors:
Co1 0.000 0.000 0.000
Co2 0.500 0.500 0.000
Pb1 0.000 0.000 0.517
Pb2 0.000 0.500 0.214
Pb3 0.500 0.000 0.214
Pb4 0.500 0.500 0.517
Br1 0.000 0.500 0.836
Br2 0.500 0.000 0.836

Computed properties:
ΔE_f (raw) in eV/atom: 0.239
Space group: Cmm2
E above lowest polymorph in meV per atom: 142